# Ho6HgN (GGA-PBE, optimized geometry)
data_Ho6HgN
_cell_length_a 6.525
_cell_length_b 6.533
_cell_length_c 6.985
_cell_angle_alpha 62.20
_cell_angle_beta 62.23
_cell_angle_gamma 60.03
_space_group_name_H-M_alt 'P 1'
_space_group_IT_number 1
loop_
_space_group_symop_operation_xyz
'x,y,z'
loop_
_atom_site_label
_atom_site_fract_x
_atom_site_fract_y
_atom_site_fract_z
Ho1 0.034 0.400 0.770
Ho2 0.795 0.034 0.770
Ho3 0.600 0.204 0.230
Ho4 0.205 0.966 0.230
Ho5 0.966 0.600 0.230
Ho6 0.400 0.796 0.770
Hg1 0.500 0.500 0.500
N1 0.000 0.000 0.000
# E_form (uncorrected), meV/atom: -374
# Spin magnetization, μB per formula unit: 0.00
# Crystal system: triclinic